PBE-GGA Nd2ErIn, relaxed; SG = No. 123; VASP energy = -4.48 eV/atom; ρ = 7.94 g cm⁻³
1.0
4.9001 0.0000 0.0000
0.0000 4.9001 0.0000
0.0000 0.0000 4.9686
Nd Er In
2 1 1
direct
0.0000 0.5000 0.0000
0.5000 0.0000 0.0000
0.0000 0.0000 0.5000
0.5000 0.5000 0.5000

=====

PBE-GGA YNiBiMo, relaxed; SG = No. 216; VASP energy = -6.42 eV/atom; ρ = 9.68 g cm⁻³
1.0
0.0000 3.3862 3.3862
3.3862 0.0000 3.3862
3.3862 3.3862 0.0000
Y Ni Bi Mo
1 1 1 1
direct
0.0000 0.0000 0.0000
0.7500 0.7500 0.7500
0.5000 0.5000 0.5000
0.2500 0.2500 0.2500

=====

PBE-GGA CsMoCl6, relaxed; SG = No. 9; VASP energy = -3.99 eV/atom; polymorph energy (0 for the lowest one) = 0 meV/atom; ρ = 3.07 g cm⁻³
1.0
6.1071 -3.2226 0.0000
6.1071 3.2226 0.0000
-2.6747 0.0000 12.1232
Cs Mo Cl
2 2 12
direct
0.1214 0.8786 0.5000
0.8786 0.1214 0.0000
0.5005 0.9990 0.2503
0.9990 0.5005 0.7503
0.1091 0.2036 0.2920
0.2030 0.3688 0.5934
0.2036 0.1091 0.7920
0.2957 0.5433 0.8551
0.3688 0.2030 0.0934
0.4568 0.7023 0.1454
0.5433 0.2957 0.3551
0.6321 0.7948 0.4070
0.7023 0.4568 0.6454
0.7948 0.6321 0.9070
0.7945 0.8913 0.7081
0.8913 0.7945 0.2081

=====

PBE-GGA ErTlSnSe3, relaxed; SG = No. 63; VASP energy = -4.52 eV/atom; ρ = 6.41 g cm⁻³
1.0
2.0426 -8.0268 0.0000
2.0426 8.0268 0.0000
0.0000 0.0000 11.4916
Er Tl Sn Se
2 2 2 6
direct
0.0000 0.0000 0.0000
0.0000 0.0000 0.5000
0.3034 0.6966 0.7500
0.6966 0.3034 0.2500
0.3729 0.6271 0.2500
0.6271 0.3729 0.7500
0.0093 0.9907 0.7500
0.3780 0.6220 0.5044
0.3780 0.6220 0.9956
0.6220 0.3780 0.0044
0.6220 0.3780 0.4956
0.9907 0.0093 0.2500

=====

PBE-GGA ErTaN2O, relaxed; SG = No. 1; VASP energy = -9.53 eV/atom; ρ = 10.09 g cm⁻³
1.0
5.4128 0.0000 0.0000
-2.6748 4.7931 0.0000
-2.6096 -1.6490 4.9745
Er Ta N O
2 2 4 2
direct
0.0000 0.0000 0.0000
0.4511 0.7230 0.1825
0.0493 0.5462 0.5323
0.4528 0.2254 0.6512
0.2119 0.3873 0.3634
0.4947 0.9174 0.8188
0.9128 0.5602 0.8291
0.9580 0.7918 0.3362
0.2813 0.3257 0.8475
0.5693 0.1518 0.3594

=====

PBE-GGA GePAuO, relaxed; SG = No. 129; VASP energy = -4.26 eV/atom; polymorph energy (0 for the lowest one) = 833 meV/atom; ρ = 6.83 g cm⁻³
1.0
4.3336 0.0000 0.0000
0.0000 4.3336 0.0000
0.0000 0.0000 8.1966
Ge P Au O
2 2 2 2
direct
0.2500 0.7500 0.0000
0.7500 0.2500 0.0000
0.2500 0.2500 0.1482
0.7500 0.7500 0.8518
0.2500 0.2500 0.5449
0.7500 0.7500 0.4551
0.2500 0.7500 0.5000
0.7500 0.2500 0.5000

=====

PBE-GGA ZrFeCuSi, relaxed; SG = No. 216; VASP energy = -6.74 eV/atom; polymorph energy (0 for the lowest one) = 0 meV/atom; ρ = 7.10 g cm⁻³
1.0
0.0000 3.0331 3.0331
3.0331 0.0000 3.0331
3.0331 3.0331 0.0000
Zr Fe Cu Si
1 1 1 1
direct
0.0000 0.0000 0.0000
0.2500 0.2500 0.2500
0.7500 0.7500 0.7500
0.5000 0.5000 0.5000

=====

PBE-GGA Dy2ErTmIn4, relaxed; SG = No. 38; VASP energy = -4.06 eV/atom; ρ = 8.43 g cm⁻³
1.0
6.9990 0.0000 0.0000
0.0000 2.2526 6.9990
0.0000 -2.2526 6.9990
Dy Er Tm In
2 1 1 4
direct
0.0000 0.0000 0.0000
0.5000 0.4486 0.4486
0.0000 0.2709 0.2709
0.5000 0.1780 0.1780
0.2087 0.6208 0.6208
0.2918 0.8278 0.8278
0.7082 0.8278 0.8278
0.7913 0.6208 0.6208

=====

VASP energy of number 2 (YNiBiMo)? -6.42 eV/atom

=====

Which of these has the lowest VASP energy? ErTaN2O